1.
Entry from the Alexandria database: crystalline KTa at its relaxed geometry (GGA-PBE).

a b c (Å): 14.192 14.192 2.928
angles (deg): 90.00 90.00 120.00
Fractional coordinates of all 12 atoms:
Ta (0.500, 0.074, 0.250)
Ta (0.074, 0.574, 0.750)
Ta (0.500, 0.926, 0.750)
Ta (0.574, 0.500, 0.250)
Ta (0.926, 0.426, 0.250)
Ta (0.426, 0.500, 0.750)
K (0.130, 0.357, 0.750)
K (0.227, 0.870, 0.750)
K (0.870, 0.643, 0.250)
K (0.357, 0.227, 0.250)
K (0.773, 0.130, 0.250)
K (0.643, 0.773, 0.750)

As for the symmetry: P6_3/m, No. 176. Its energy relative to the elements is 2.8 eV/f.u.


2.
Entry from the Alexandria database: crystalline KTa3 at its relaxed geometry (GGA-PBE).

a b c (Å): 4.681 4.681 4.681
angles (deg): 90.00 90.00 90.00
Fractional coordinates of all 4 atoms:
Ta (0.000, 0.500, 0.000)
Ta (0.500, 0.000, 0.000)
Ta (0.000, 0.000, 0.500)
K (0.000, 0.000, 0.000)

As for the symmetry: Pm-3m, No. 221. Its energy relative to the elements is 17.3 eV/f.u.


| no. | mass density (Mg/m³) |
| --- | --- |
| 1 | 4.29 |
| 2 | 9.42 |